Entry 1:
The following is a PBE calculation of a relaxed Ca2HgN crystal, from the Alexandria database.

Properties
Its total moment is 0.00 μB/f.u. The uncorrected formation energy is -0.574 eV/atom. Its symmetry is No. 46. For the energy above the lowest structure with this stoichiometry, the calculation gives 126 meV/atom. Its calculated total energy is -3.73 eV per atom.

Unit cell a=4.867 b=10.721 c=7.488 alpha=90.00 beta=90.00 gamma=90.00
Sites, in units of the cell vectors:
1 Ca 0.250 0.090 0.000
2 Ca 0.250 0.410 0.500
3 Ca 0.250 0.740 0.765
4 Ca 0.250 0.760 0.265
5 Ca 0.750 0.240 0.265
6 Ca 0.750 0.260 0.765
7 Ca 0.750 0.590 0.500
8 Ca 0.750 0.910 0.000
9 Hg 0.250 0.086 0.514
10 Hg 0.250 0.414 0.014
11 Hg 0.750 0.586 0.014
12 Hg 0.750 0.914 0.514
13 N 0.250 0.625 0.505
14 N 0.250 0.875 0.005
15 N 0.750 0.125 0.005
16 N 0.750 0.375 0.505



Entry 2:
The following is a PBE calculation of a relaxed Ca2Hg2N crystal, from the Alexandria database.

Properties
Its total moment is 0.00 μB/f.u. The uncorrected formation energy is -0.603 eV/atom. Its symmetry is No. 12. Its calculated total energy is -3.19 eV per atom.

Unit cell a=6.207 b=3.583 c=11.105 alpha=90.00 beta=101.13 gamma=90.00
Sites, in units of the cell vectors:
1 Ca 0.206 0.000 0.115
2 Ca 0.294 0.500 0.885
3 Ca 0.706 0.500 0.115
4 Ca 0.794 0.000 0.885
5 Hg 0.039 0.000 0.635
6 Hg 0.461 0.500 0.365
7 Hg 0.539 0.500 0.635
8 Hg 0.961 0.000 0.365
9 N 0.000 0.500 0.000
10 N 0.500 0.000 0.000



Entry 3:
The following is a PBE calculation of a relaxed CaHg3N crystal, from the Alexandria database.

Properties
Its total moment is 2.41 μB/f.u. The uncorrected formation energy is 1.094 eV/atom. Its symmetry is No. 221. For the energy above the lowest structure with this stoichiometry, the calculation gives 553 meV/atom. Its calculated total energy is -1.15 eV per atom.

Unit cell a=6.300 b=6.300 c=6.300 alpha=90.00 beta=90.00 gamma=90.00
Sites, in units of the cell vectors:
1 Ca 0.000 0.000 0.000
2 Hg 0.000 0.000 0.500
3 Hg 0.000 0.500 0.000
4 Hg 0.500 0.000 0.000
5 N 0.500 0.500 0.500



Entry 4:
The following is a PBE calculation of a relaxed CaHgN2 crystal, from the Alexandria database.

Properties
Its total moment is 0.00 μB/f.u. The uncorrected formation energy is 1.262 eV/atom. Its symmetry is No. 166. Its calculated total energy is -3.48 eV per atom.

Unit cell a=3.629 b=3.629 c=19.421 alpha=90.00 beta=90.00 gamma=120.00
Sites, in units of the cell vectors:
1 Ca 0.000 0.000 0.000
2 Ca 0.333 0.667 0.667
3 Ca 0.667 0.333 0.333
4 Hg 0.000 0.000 0.500
5 Hg 0.333 0.667 0.167
6 Hg 0.667 0.333 0.833
7 N 0.000 0.000 0.115
8 N 0.000 0.000 0.885
9 N 0.333 0.667 0.551
10 N 0.333 0.667 0.782
11 N 0.667 0.333 0.218
12 N 0.667 0.333 0.449